{
  "formula": "ErMnGaS4",
  "functional": "PBE",
  "state": "relaxed",
  "cell": [[7.480, 0.000, 0.000], [3.740, 6.518, 0.079], [3.740, 2.061, 6.184]],
  "species": ["Er", "Er", "Mn", "Mn", "Ga", "Ga", "S", "S", "S", "S", "S", "S", "S", "S"],
  "frac_coords": [[0.000, 0.000, 0.000], [0.000, 0.500, 0.500], [0.500, 0.000, 0.500], [0.000, 0.000, 0.500], [0.631, 0.619, 0.119], [0.369, 0.381, 0.881], [0.746, 0.769, 0.738], [0.254, 0.762, 0.731], [0.746, 0.238, 0.269], [0.254, 0.231, 0.262], [0.249, 0.755, 0.255], [0.741, 0.755, 0.255], [0.259, 0.245, 0.745], [0.751, 0.245, 0.745]],
  "formation_energy_uncorrected_ev_per_atom": -1.090,
  "dos_at_fermi_per_ev_fu": 1.55,
  "magnetic_moment_mub_per_fu": 4.77,
  "spacegroup": "Imma, No. 74"
}